A crystal of TcPt5 relaxed with PBEsol. Source: Alexandria, functional meta-GGA SCAN.

Calculated values
E above lowest polymorph: 92.8 meV/atom
formation energy: -0.066 eV/f.u.

abc: 5.3162 5.3162 6.5556
angles: 105.32 105.32 29.91
Sites, in units of the cell vectors:
1 Tc 0.0000 0.0000 0.0000
2 Pt 0.2814 0.2814 0.0513
3 Pt 0.3342 0.3342 0.6706
4 Pt 0.6053 0.6053 0.7270
5 Pt 0.6637 0.6637 0.3220
6 Pt 0.9458 0.9458 0.3839